Record 1
## Ta3AlC (PBE)

Data for a geometry-optimized Ta3AlC structure.

Cell: 4.291 4.291 4.291 Å, 90.00 90.00 90.00°
Space group Pm-3m (No. 221)
Unique sites:
Ta (0.000, 0.000, 0.500) (multiplicity 3)
Al (0.500, 0.500, 0.500) (multiplicity 1)
C (0.000, 0.000, 0.000) (multiplicity 1)

Output
total magnetic moment	0.000	μB per atom
ΔE_f	-0.57	eV/f.u.
E_tot	-49.10	eV for the cell shown
crystal system	cubic
distance to the lowest polymorph of the same formula	338	meV/atom

***

Record 2
## OsAuI2O (PBE)

Data for a geometry-optimized OsAuI2O structure.

Cell: 5.684 5.684 3.914 Å, 90.00 90.00 90.00°
Space group P4/mmm (No. 123)
Unique sites:
Os (0.000, 0.000, 0.000) (multiplicity 1)
Au (0.500, 0.500, 0.500) (multiplicity 1)
I (0.000, 0.500, 0.500) (multiplicity 2)
O (0.500, 0.500, 0.000) (multiplicity 1)

Output
total magnetic moment	0.692	μB per atom
formation energy (no corrections)	1.383	eV/atom
E_tot	-15.65	eV for the cell shown
crystal system	tetragonal
distance to the lowest polymorph of the same formula	1182	meV/atom

***

Record 3
## AcZr5 (PBE)

Data for a geometry-optimized AcZr5 structure.

Cell: 4.641 13.948 4.710 Å, 90.00 90.00 90.00°
Space group Cmmm (No. 65)
Unique sites:
Ac (0.000, 0.000, 0.000) (multiplicity 2)
Zr (0.000, 0.173, 0.500) (multiplicity 4)
Zr (0.000, 0.327, 0.000) (multiplicity 4)
Zr (0.000, 0.500, 0.500) (multiplicity 2)

Output
total magnetic moment	0.000	μB per atom
ΔE_f	1.13	eV/f.u.
E_tot	-91.44	eV for the cell shown
crystal system	orthorhombic

***

Record 4
## MnNb2Cr2 (PBE)

Data for a geometry-optimized MnNb2Cr2 structure.

Cell: 5.877 5.877 4.253 Å, 90.00 90.00 90.00°
Space group P4/mbm (No. 127)
Unique sites:
Mn (0.000, 0.000, 0.000) (multiplicity 2)
Nb (0.183, 0.317, 0.500) (multiplicity 4)
Cr (0.142, 0.642, 0.000) (multiplicity 4)

Output
total magnetic moment	0.000	μB per atom
ΔE_f	1.11	eV/f.u.
E_tot	-94.89	eV for the cell shown
crystal system	tetragonal